Pr5Dy4Pu, relaxed, DFT PBE; uncorrected energy = -0.41073 Ry per atom; N(E_F) = 17.9 states/eV/f.u.; energy of formation from the pure elements = 0.076 eV/atom; magnetic moment = 6.45 μB/f.u.
1.0
3.4373 0.0000 -0.9529
-1.1058 10.7340 -3.9885
0.5961 0.2914 8.8258
Pu Pr Dy
1 5 4
Direct
0.5000 0.0000 0.0000
0.1898 0.5809 0.3797
0.7930 0.8884 0.5859
0.2070 0.1116 0.4141
0.8102 0.4191 0.6203
0.5000 0.5000 0.0000
0.9184 0.2037 0.8368
0.3965 0.7063 0.7930
0.0816 0.7963 0.1632
0.6035 0.2937 0.2070